(1)
# MgTiSi3, relaxed, DFT PBE-GGA
# **Density of states at the Fermi level**: 1.466 states/eV per atom
# **Formation energy without anion corrections**: 28.671 kcal/mol of atoms
# **Mass density**: 2.44 Mg/m³
data_MgTiSi3
_chemical_formula_sum 'Mg1 Ti1 Si3'
_space_group_name_H-M_alt 'P m -3 m'
_space_group_IT_number 221
_space_group_name_Hall '-P 4 2 3'
_cell_length_a 4.738
_cell_length_b 4.738
_cell_length_c 4.738
_cell_angle_alpha 90.00
_cell_angle_beta 90.00
_cell_angle_gamma 90.00
loop_
_atom_site_label
_atom_site_fract_x
_atom_site_fract_y
_atom_site_fract_z
Mg1 0.000 0.000 0.000
Ti1 0.500 0.500 0.500
Si1 0.000 0.000 0.500

=====

(2)
# Tm5Sc6, relaxed, DFT PBE-GGA
# **Total energy**: -5.353 eV per atom
# **Density of states at the Fermi level**: 1.709 states/eV per atom
# **Mass density**: 6.14 Mg/m³
data_Tm5Sc6
_chemical_formula_sum 'Tm10 Sc12'
_space_group_name_H-M_alt 'I m m m'
_space_group_IT_number 71
_space_group_name_Hall '-I 2 2'
_cell_length_a 5.231
_cell_length_b 7.591
_cell_length_c 15.172
_cell_angle_alpha 90.00
_cell_angle_beta 90.00
_cell_angle_gamma 90.00
loop_
_atom_site_label
_atom_site_fract_x
_atom_site_fract_y
_atom_site_fract_z
Tm1 0.000 0.000 0.000
Tm2 0.000 0.000 0.300
Tm3 0.000 0.500 0.339
Sc1 0.000 0.203 0.500
Sc2 0.000 0.296 0.135

=====

(3)
# Tb3Nd6Sm2Mg, relaxed, DFT PBE-GGA
# **Total energy**: -4.447 eV per atom
# **Density of states at the Fermi level**: 1.113 states/eV per atom
# **Mass density**: 6.96 Mg/m³
data_Tb3Nd6Sm2Mg
_chemical_formula_sum 'Tb6 Nd12 Sm4 Mg2'
_space_group_name_H-M_alt 'C 1 2/m 1'
_space_group_IT_number 12
_space_group_name_Hall '-C 2y'
_cell_length_a 6.262
_cell_length_b 10.853
_cell_length_c 11.897
_cell_angle_alpha 90.00
_cell_angle_beta 100.13
_cell_angle_gamma 90.00
loop_
_atom_site_label
_atom_site_fract_x
_atom_site_fract_y
_atom_site_fract_z
Tb1 0.000 0.000 0.000
Tb2 0.000 0.334 0.000
Nd1 0.248 0.334 0.750
Nd2 0.249 0.500 0.249
Sm1 0.000 0.167 0.500
Mg1 0.000 0.500 0.500

=====

(4)
# LaSbTe2Pd, relaxed, DFT PBE-GGA
# **Density of states at the Fermi level**: 1.567 states/eV per atom
# **Formation energy without anion corrections**: 11.593 kcal/mol of atoms
# **Mass density**: 4.57 Mg/m³
data_LaSbTe2Pd
_chemical_formula_sum 'La1 Sb1 Te2 Pd1'
_space_group_name_H-M_alt 'P 4/m m m'
_space_group_IT_number 123
_space_group_name_Hall '-P 4 2'
_cell_length_a 6.066
_cell_length_b 6.066
_cell_length_c 6.147
_cell_angle_alpha 90.00
_cell_angle_beta 90.00
_cell_angle_gamma 90.00
loop_
_atom_site_label
_atom_site_fract_x
_atom_site_fract_y
_atom_site_fract_z
La1 0.000 0.000 0.000
Sb1 0.000 0.000 0.500
Te1 0.000 0.500 0.000
Pd1 0.500 0.500 0.500

=====

(5)
# Cr3Tc, relaxed, DFT PBE-GGA
# **Total energy**: -7.995 eV per atom
# **Density of states at the Fermi level**: 0.514 states/eV per atom
# **Mass density**: 3.97 Mg/m³
data_Cr3Tc
_chemical_formula_sum 'Cr3 Tc1'
_space_group_name_H-M_alt 'P m -3 m'
_space_group_IT_number 221
_space_group_name_Hall '-P 4 2 3'
_cell_length_a 4.737
_cell_length_b 4.737
_cell_length_c 4.737
_cell_angle_alpha 90.00
_cell_angle_beta 90.00
_cell_angle_gamma 90.00
loop_
_atom_site_label
_atom_site_fract_x
_atom_site_fract_y
_atom_site_fract_z
Cr1 0.000 0.000 0.500
Tc1 0.000 0.000 0.000

=====

(6)
# Sr2HI3, relaxed, DFT PBE-GGA
# **Total energy**: -3.244 eV per atom
# **Density of states at the Fermi level**: 0.000 states/eV per atom
# **Mass density**: 3.89 Mg/m³
data_Sr2HI3
_chemical_formula_sum 'Sr8 H4 I12'
_space_group_name_H-M_alt 'C 1 2/m 1'
_space_group_IT_number 12
_space_group_name_Hall '-C 2y'
_cell_length_a 17.890
_cell_length_b 4.850
_cell_length_c 12.121
_cell_angle_alpha 90.00
_cell_angle_beta 115.34
_cell_angle_gamma 90.00
loop_
_atom_site_label
_atom_site_fract_x
_atom_site_fract_y
_atom_site_fract_z
Sr1 0.093 0.000 0.448
Sr2 0.142 0.500 0.815
H1 0.061 0.000 0.631
I1 0.053 0.500 0.247
I2 0.152 0.000 0.002
I3 0.220 0.500 0.618

=====

(7)
# MgNbH, relaxed, DFT PBE-GGA
# **Total energy**: -4.199 eV per atom
# **Density of states at the Fermi level**: 1.122 states/eV per atom
# **Mass density**: 4.06 Mg/m³
data_MgNbH
_chemical_formula_sum 'Mg2 Nb2 H2'
_space_group_name_H-M_alt 'P 63/m m c'
_space_group_IT_number 194
_space_group_name_Hall '-P 6c 2c'
_cell_length_a 2.9800
_cell_length_b 2.9800
_cell_length_c 12.5727
_cell_angle_alpha 90.00
_cell_angle_beta 90.00
_cell_angle_gamma 120.00
loop_
_atom_site_label
_atom_site_fract_x
_atom_site_fract_y
_atom_site_fract_z
Mg1 0.0000 0.0000 0.2500
Nb1 0.0000 0.0000 0.0000
H1 0.3333 0.6667 0.2500